VASP calculation (GGA-PBE) on Ca2TaAg after structural relaxation.

Cell lengths 12.094, 3.093, 5.711 Å; angles 90.00, 109.90, 90.00 degrees
Space group Cm (No. 8)
One atom of each set of equivalent atoms:
Ca (0.000, 0.000, 0.000) x2
Ca (0.201, 0.000, 0.619) x2
Ta (0.262, 0.500, 0.159) x2
Ag (0.454, 0.000, 0.484) x2

Calculated values
E_tot = -4.223 eV per atom
Energy above the lowest structure with this stoichiometry = 110 meV/atom
Formation energy from the elements = 1.81 eV/f.u.



VASP calculation (GGA-PBE) on SrCa2Au2 after structural relaxation.

Cell lengths 5.454, 5.454, 11.206 Å; angles 90.00, 90.00, 90.00 degrees
Space group I4/mmm (No. 139)
One atom of each set of equivalent atoms:
Sr (0.000, 0.000, 0.000) x2
Ca (0.000, 0.000, 0.342) x4
Au (0.000, 0.500, 0.250) x4

Calculated values
E_tot = -2.921 eV per atom
Energy above the lowest structure with this stoichiometry = 190 meV/atom
Formation energy from the elements = -2.37 eV/f.u.



VASP calculation (GGA-PBE) on NbTl2Ni2S4 after structural relaxation.

Cell lengths 13.253, 3.520, 7.898 Å; angles 90.00, 106.16, 90.00 degrees
Space group C2/m (No. 12)
One atom of each set of equivalent atoms:
Nb (0.000, 0.000, 0.000) x2
Tl (0.138, 0.000, 0.552) x4
Ni (0.171, 0.500, 0.981) x4
S (0.018, 0.500, 0.777) x4
S (0.196, 0.000, 0.159) x4

Calculated values
E_tot = -5.335 eV per atom
Uncorrected formation energy = -0.5715 eV/atom



VASP calculation (GGA-PBE) on Tb8Sm2Dy3 after structural relaxation.

Cell lengths 14.791, 9.163, 6.852 Å; angles 90.00, 108.56, 90.00 degrees
Space group C2/m (No. 12)
One atom of each set of equivalent atoms:
Tb (0.083, 0.000, 0.226) x4
Tb (0.118, 0.182, 0.678) x8
Tb (0.190, 0.500, 0.390) x4
Sm (0.214, 0.500, 0.919) x4
Dy (0.000, 0.328, 0.000) x4
Dy (0.000, 0.500, 0.500) x2

Calculated values
E_tot = -4.416 eV per atom
Energy above the lowest structure with this stoichiometry = 0 meV/atom
Formation energy from the elements = 2.87 eV/f.u.



Size of the total moment for every record listed, in sequence, given in μB per formula unit: 1.091; 0.000; 0.000; 0.000.
N(E_F) for every record listed, in sequence, given in states/eV per atom: 1.107; 0.631; 0.467; 1.237.